## ZrIrCl2 (GGA-PBE)

Data for a relaxed structure of ZrIrCl2.

Geometry as CIF:
```
data_ZrIrCl2
_chemical_formula_sum 'Zr2 Ir2 Cl4'
_symmetry_space_group_name_H-M 'P 1'
_symmetry_Int_Tables_number 1
_cell_length_a 4.251
_cell_length_b 4.251
_cell_length_c 7.936
_cell_angle_alpha 90.00
_cell_angle_beta 90.00
_cell_angle_gamma 90.00
loop_
_symmetry_equiv_pos_as_xyz
'x,y,z'
loop_
_atom_site_label
_atom_site_type_symbol
_atom_site_fract_x
_atom_site_fract_y
_atom_site_fract_z
_atom_site_occupancy
Zr1 Zr 0.000 0.000 0.000 1
Zr2 Zr 0.500 0.500 0.500 1
Ir1 Ir 0.000 0.500 0.250 1
Ir2 Ir 0.500 0.000 0.750 1
Cl1 Cl 0.000 0.000 0.500 1
Cl2 Cl 0.000 0.500 0.750 1
Cl3 Cl 0.500 0.000 0.250 1
Cl4 Cl 0.500 0.500 0.000 1
```

space group	I-4m2 (119)
raw formation energy	-0.099	eV/atom
calculated total energy	-5.3745	eV per atom
mass density	8.20	g cm⁻³
relative energy among the computed polymorphs	0.7073	eV per atom

***

## AsP2Cl2 (GGA-PBE)

Data for a relaxed structure of AsP2Cl2.

Geometry as CIF:
```
data_AsP2Cl2
_chemical_formula_sum 'As2 P4 Cl4'
_symmetry_space_group_name_H-M 'P 1'
_symmetry_Int_Tables_number 1
_cell_length_a 8.677
_cell_length_b 8.677
_cell_length_c 2.801
_cell_angle_alpha 90.00
_cell_angle_beta 90.00
_cell_angle_gamma 90.00
loop_
_symmetry_equiv_pos_as_xyz
'x,y,z'
loop_
_atom_site_label
_atom_site_type_symbol
_atom_site_fract_x
_atom_site_fract_y
_atom_site_fract_z
_atom_site_occupancy
As1 As 0.000 0.000 0.000 1
As2 As 0.500 0.500 0.000 1
P1 P 0.232 0.268 0.500 1
P2 P 0.268 0.768 0.500 1
P3 P 0.732 0.232 0.500 1
P4 P 0.768 0.732 0.500 1
Cl1 Cl 0.119 0.619 0.000 1
Cl2 Cl 0.381 0.119 0.000 1
Cl3 Cl 0.619 0.881 0.000 1
Cl4 Cl 0.881 0.381 0.000 1
```

space group	P4/mbm (127)
raw formation energy	0.743	eV/atom
calculated total energy	-3.0893	eV per atom
mass density	3.27	g cm⁻³
relative energy among the computed polymorphs	0.4503	eV per atom

***

## AcVGe3 (GGA-PBE)

Data for a relaxed structure of AcVGe3.

Geometry as CIF:
```
data_AcVGe3
_chemical_formula_sum 'Ac1 V1 Ge3'
_symmetry_space_group_name_H-M 'P 1'
_symmetry_Int_Tables_number 1
_cell_length_a 4.813
_cell_length_b 4.813
_cell_length_c 4.813
_cell_angle_alpha 90.00
_cell_angle_beta 90.00
_cell_angle_gamma 90.00
loop_
_symmetry_equiv_pos_as_xyz
'x,y,z'
loop_
_atom_site_label
_atom_site_type_symbol
_atom_site_fract_x
_atom_site_fract_y
_atom_site_fract_z
_atom_site_occupancy
Ac1 Ac 0.000 0.000 0.000 1
V1 V 0.500 0.500 0.500 1
Ge1 Ge 0.000 0.500 0.500 1
Ge2 Ge 0.500 0.000 0.500 1
Ge3 Ge 0.500 0.500 0.000 1
```

space group	Pm-3m (221)
calculated total energy	-5.7606	eV per atom
calculated formation energy	-0.3447	eV per atom
mass density	7.39	g cm⁻³
relative energy among the computed polymorphs	0.1573	eV per atom

***

## NbTlAg3 (GGA-PBE)

Data for a relaxed structure of NbTlAg3.

Geometry as CIF:
```
data_NbTlAg3
_chemical_formula_sum 'Nb1 Tl1 Ag3'
_symmetry_space_group_name_H-M 'P 1'
_symmetry_Int_Tables_number 1
_cell_length_a 5.169
_cell_length_b 5.169
_cell_length_c 5.169
_cell_angle_alpha 90.00
_cell_angle_beta 90.00
_cell_angle_gamma 90.00
loop_
_symmetry_equiv_pos_as_xyz
'x,y,z'
loop_
_atom_site_label
_atom_site_type_symbol
_atom_site_fract_x
_atom_site_fract_y
_atom_site_fract_z
_atom_site_occupancy
Nb1 Nb 0.000 0.000 0.000 1
Tl1 Tl 0.500 0.500 0.500 1
Ag1 Ag 0.000 0.500 0.500 1
Ag2 Ag 0.500 0.000 0.500 1
Ag3 Ag 0.500 0.500 0.000 1
```

space group	Pm-3m (221)
calculated total energy	-2.8858	eV per atom
calculated formation energy	1.3122	eV per atom
mass density	7.46	g cm⁻³
relative energy among the computed polymorphs	0.1228	eV per atom

***

## LiLaCu5 (GGA-PBE)

Data for a relaxed structure of LiLaCu5.

Geometry as CIF:
```
data_LiLaCu5
_chemical_formula_sum 'Li4 La4 Cu20'
_symmetry_space_group_name_H-M 'P 1'
_symmetry_Int_Tables_number 1
_cell_length_a 8.262
_cell_length_b 5.183
_cell_length_c 10.439
_cell_angle_alpha 90.00
_cell_angle_beta 90.00
_cell_angle_gamma 90.00
loop_
_symmetry_equiv_pos_as_xyz
'x,y,z'
loop_
_atom_site_label
_atom_site_type_symbol
_atom_site_fract_x
_atom_site_fract_y
_atom_site_fract_z
_atom_site_occupancy
Li1 Li 0.141 0.250 0.138 1
Li2 Li 0.359 0.750 0.638 1
Li3 Li 0.641 0.250 0.362 1
Li4 Li 0.859 0.750 0.862 1
La1 La 0.243 0.750 0.936 1
La2 La 0.257 0.250 0.436 1
La3 La 0.743 0.750 0.564 1
La4 La 0.757 0.250 0.064 1
Cu1 Cu 0.061 0.250 0.892 1
Cu2 Cu 0.069 0.503 0.686 1
Cu3 Cu 0.069 0.997 0.686 1
Cu4 Cu 0.093 0.750 0.483 1
Cu5 Cu 0.181 0.750 0.251 1
Cu6 Cu 0.319 0.250 0.751 1
Cu7 Cu 0.407 0.250 0.983 1
Cu8 Cu 0.431 0.003 0.186 1
Cu9 Cu 0.431 0.497 0.186 1
Cu10 Cu 0.439 0.750 0.392 1
Cu11 Cu 0.561 0.250 0.608 1
Cu12 Cu 0.569 0.503 0.814 1
Cu13 Cu 0.569 0.997 0.814 1
Cu14 Cu 0.593 0.750 0.017 1
Cu15 Cu 0.681 0.750 0.249 1
Cu16 Cu 0.819 0.250 0.749 1
Cu17 Cu 0.907 0.250 0.517 1
Cu18 Cu 0.931 0.003 0.314 1
Cu19 Cu 0.931 0.497 0.314 1
Cu20 Cu 0.939 0.750 0.108 1
```

space group	Pnma (62)
calculated total energy	-4.0497	eV per atom
calculated formation energy	-0.1465	eV per atom
mass density	6.89	g cm⁻³

***

## La3Yb2Ga3O12 (GGA-PBE)

Data for a relaxed structure of La3Yb2Ga3O12.

Geometry as CIF:
```
data_La3Yb2Ga3O12
_chemical_formula_sum 'La12 Yb8 Ga12 O48'
_symmetry_space_group_name_H-M 'P 1'
_symmetry_Int_Tables_number 1
_cell_length_a 11.426
_cell_length_b 11.426
_cell_length_c 11.426
_cell_angle_alpha 109.47
_cell_angle_beta 109.47
_cell_angle_gamma 109.47
loop_
_symmetry_equiv_pos_as_xyz
'x,y,z'
loop_
_atom_site_label
_atom_site_type_symbol
_atom_site_fract_x
_atom_site_fract_y
_atom_site_fract_z
_atom_site_occupancy
La1 La 0.125 0.250 0.375 1
La2 La 0.125 0.375 0.750 1
La3 La 0.250 0.375 0.125 1
La4 La 0.250 0.875 0.625 1
La5 La 0.375 0.125 0.250 1
La6 La 0.375 0.750 0.125 1
La7 La 0.625 0.250 0.875 1
La8 La 0.625 0.875 0.750 1
La9 La 0.750 0.125 0.375 1
La10 La 0.750 0.625 0.875 1
La11 La 0.875 0.625 0.250 1
La12 La 0.875 0.750 0.625 1
Yb1 Yb 0.000 0.000 0.000 1
Yb2 Yb 0.000 0.000 0.500 1
Yb3 Yb 0.000 0.500 0.000 1
Yb4 Yb 0.000 0.500 0.500 1
Yb5 Yb 0.500 0.000 0.000 1
Yb6 Yb 0.500 0.000 0.500 1
Yb7 Yb 0.500 0.500 0.000 1
Yb8 Yb 0.500 0.500 0.500 1
Ga1 Ga 0.125 0.750 0.875 1
Ga2 Ga 0.125 0.875 0.250 1
Ga3 Ga 0.250 0.125 0.875 1
Ga4 Ga 0.250 0.625 0.375 1
Ga5 Ga 0.375 0.250 0.625 1
Ga6 Ga 0.375 0.625 0.750 1
Ga7 Ga 0.625 0.375 0.250 1
Ga8 Ga 0.625 0.750 0.375 1
Ga9 Ga 0.750 0.375 0.625 1
Ga10 Ga 0.750 0.875 0.125 1
Ga11 Ga 0.875 0.125 0.750 1
Ga12 Ga 0.875 0.250 0.125 1
O1 O 0.026 0.216 0.127 1
O2 O 0.026 0.310 0.899 1
O3 O 0.089 0.716 0.690 1
O4 O 0.089 0.873 0.399 1
O5 O 0.101 0.627 0.411 1
O6 O 0.101 0.974 0.690 1
O7 O 0.127 0.026 0.216 1
O8 O 0.127 0.601 0.911 1
O9 O 0.190 0.216 0.589 1
O10 O 0.190 0.474 0.601 1
O11 O 0.216 0.127 0.026 1
O12 O 0.216 0.589 0.190 1
O13 O 0.284 0.310 0.911 1
O14 O 0.284 0.474 0.373 1
O15 O 0.310 0.899 0.026 1
O16 O 0.310 0.911 0.284 1
O17 O 0.373 0.284 0.474 1
O18 O 0.373 0.589 0.899 1
O19 O 0.399 0.089 0.873 1
O20 O 0.399 0.810 0.526 1
O21 O 0.411 0.101 0.627 1
O22 O 0.411 0.810 0.784 1
O23 O 0.474 0.373 0.284 1
O24 O 0.474 0.601 0.190 1
O25 O 0.526 0.399 0.810 1
O26 O 0.526 0.627 0.716 1
O27 O 0.589 0.190 0.216 1
O28 O 0.589 0.899 0.373 1
O29 O 0.601 0.190 0.474 1
O30 O 0.601 0.911 0.127 1
O31 O 0.627 0.411 0.101 1
O32 O 0.627 0.716 0.526 1
O33 O 0.690 0.089 0.716 1
O34 O 0.690 0.101 0.974 1
O35 O 0.716 0.526 0.627 1
O36 O 0.716 0.690 0.089 1
O37 O 0.784 0.411 0.810 1
O38 O 0.784 0.873 0.974 1
O39 O 0.810 0.526 0.399 1
O40 O 0.810 0.784 0.411 1
O41 O 0.873 0.399 0.089 1
O42 O 0.873 0.974 0.784 1
O43 O 0.899 0.026 0.310 1
O44 O 0.899 0.373 0.589 1
O45 O 0.911 0.127 0.601 1
O46 O 0.911 0.284 0.310 1
O47 O 0.974 0.690 0.101 1
O48 O 0.974 0.784 0.873 1
```

space group	Ia-3d (230)
raw formation energy	-2.741	eV/atom
calculated total energy	-7.0614	eV per atom
mass density	6.73	g cm⁻³